This record from the Alexandria database describes a relaxed CdWAu2 crystal. The functional is PBE.

Summary:
Calculated formation energy = 405.4 meV/atom
Total energy = -4.70 eV per atom
Energy above the most stable polymorph in this dataset = 0.225 eV per atom

```
CdWAu2
1.0
2.831 0.000 0.000
0.000 4.213 0.000
0.000 0.000 6.039
Au W Cd
2 1 1
direct
0.000 0.000 0.978
0.500 0.500 0.255
0.500 0.500 0.773
0.000 0.000 0.495
```